! Ba2NaGe2O6 PBE-GGA optimized geometry; values from VASP
&SYSTEM
  ibrav = 0, nat = 11, ntyp = 4
/
ATOMIC_SPECIES
Ba 137.33 Ba.upf
Na 22.99 Na.upf
O 16.00 O.upf
Ge 72.64 Ge.upf
CELL_PARAMETERS angstrom
-0.270 1.192 -5.888
1.294 -4.299 -4.000
-5.665 -2.774 -3.372
ATOMIC_POSITIONS crystal
Ba 0.211 0.211 0.366
Ba 0.789 0.789 0.634
Na 0.000 0.000 0.000
O 0.246 0.746 0.262
O 0.254 0.754 0.738
O 0.254 0.254 0.738
O 0.746 0.246 0.262
O 0.754 0.254 0.738
O 0.746 0.746 0.262
Ge 0.566 0.566 0.302
Ge 0.434 0.434 0.698
! SG	R-3m (166)
! formation energy from raw total energies	-1920	meV per atom
! total DFT energy (no corrections)	-5.933	eV per atom


! AsPt3I PBE-GGA optimized geometry; values from VASP
&SYSTEM
  ibrav = 0, nat = 5, ntyp = 3
/
ATOMIC_SPECIES
Pt 195.08 Pt.upf
I 126.90 I.upf
As 74.92 As.upf
CELL_PARAMETERS angstrom
-3.938 -2.331 -1.973
2.743 -1.284 -3.957
1.342 -4.213 2.298
ATOMIC_POSITIONS crystal
Pt 0.000 0.500 0.000
Pt 0.500 0.000 0.000
Pt 0.000 0.000 0.500
I 0.000 0.000 0.000
As 0.500 0.500 0.500
! SG	Pm-3m (221)
! energy above the lowest structure with this stoichiometry	3.51	eV per formula unit
! formation energy from raw total energies	1328	meV per atom
! total DFT energy (no corrections)	-3.537	eV per atom


! Pm8DySc4 PBE-GGA optimized geometry; values from VASP
&SYSTEM
  ibrav = 0, nat = 13, ntyp = 3
/
ATOMIC_SPECIES
Pm 145.00 Pm.upf
Sc 44.96 Sc.upf
Dy 162.50 Dy.upf
CELL_PARAMETERS angstrom
-2.440 5.816 -3.038
5.395 -3.437 -2.845
-6.307 -8.036 -2.254
ATOMIC_POSITIONS crystal
Pm 0.505 0.752 0.725
Pm 0.973 0.752 0.725
Pm 0.027 0.248 0.275
Pm 0.577 0.789 0.366
Pm 0.423 0.211 0.634
Pm 0.027 0.779 0.275
Pm 0.973 0.221 0.725
Pm 0.495 0.248 0.275
Sc 0.000 0.000 0.000
Sc 0.500 0.000 0.000
Sc 0.000 0.500 0.000
Sc 0.500 0.500 0.000
Dy 0.000 0.500 0.500
! SG	R-3m (166)
! total DFT energy (no corrections)	-4.986	eV per atom


! PrErC PBE-GGA optimized geometry; values from VASP
&SYSTEM
  ibrav = 0, nat = 6, ntyp = 3
/
ATOMIC_SPECIES
Pr 140.91 Pr.upf
Er 167.26 Er.upf
C 12.01 C.upf
CELL_PARAMETERS angstrom
3.620 0.000 0.000
0.000 6.794 0.567
0.000 -2.606 5.770
ATOMIC_POSITIONS crystal
Pr 0.250 0.775 0.502
Pr 0.750 0.225 0.498
Er 0.750 0.796 0.009
Er 0.250 0.204 0.991
C 0.250 0.996 0.235
C 0.750 0.004 0.765
! SG	P2_1/m (11)
! energy above the lowest structure with this stoichiometry	0.00	eV per formula unit
! total DFT energy (no corrections)	-6.362	eV per atom


! CaTlIr2Pb PBE-GGA optimized geometry; values from VASP
&SYSTEM
  ibrav = 0, nat = 5, ntyp = 4
/
ATOMIC_SPECIES
Ir 192.22 Ir.upf
Ca 40.08 Ca.upf
Pb 207.20 Pb.upf
Tl 204.38 Tl.upf
CELL_PARAMETERS angstrom
5.090 0.000 0.000
0.000 5.593 0.000
0.000 0.000 5.090
ATOMIC_POSITIONS crystal
Ir 0.000 0.000 0.500
Ir 0.500 0.000 0.000
Ca 0.500 0.500 0.500
Pb 0.000 0.000 0.000
Tl 0.000 0.500 0.000
! SG	P4/mmm (123)
! total DFT energy (no corrections)	-4.155	eV per atom


! NaMg5Hg4 PBE-GGA optimized geometry; values from VASP
&SYSTEM
  ibrav = 0, nat = 10, ntyp = 3
/
ATOMIC_SPECIES
Mg 24.30 Mg.upf
Hg 200.59 Hg.upf
Na 22.99 Na.upf
CELL_PARAMETERS angstrom
3.545 0.000 0.000
0.000 3.545 0.000
0.000 0.000 18.103
ATOMIC_POSITIONS crystal
Mg 0.500 0.500 0.688
Mg 0.500 0.500 0.127
Mg 0.500 0.500 0.312
Mg 0.500 0.500 0.500
Mg 0.500 0.500 0.873
Hg 0.000 0.000 0.595
Hg 0.000 0.000 0.405
Hg 0.000 0.000 0.214
Hg 0.000 0.000 0.786
Na 0.000 0.000 0.000
! SG	P4/mmm (123)
! total DFT energy (no corrections)	-1.209	eV per atom


! Sr4LiBe PBE-GGA optimized geometry; values from VASP
&SYSTEM
  ibrav = 0, nat = 6, ntyp = 3
/
ATOMIC_SPECIES
Li 6.94 Li.upf
Sr 87.62 Sr.upf
Be 9.01 Be.upf
CELL_PARAMETERS angstrom
0.000 5.243 5.243
5.243 0.000 5.243
5.243 5.243 0.000
ATOMIC_POSITIONS crystal
Li 0.000 0.000 0.000
Sr 0.375 0.375 0.874
Sr 0.375 0.874 0.375
Sr 0.874 0.375 0.375
Sr 0.375 0.375 0.375
Be 0.750 0.750 0.750
! SG	F-43m (216)
! total DFT energy (no corrections)	-1.251	eV per atom


! LaPmRu PBE-GGA optimized geometry; values from VASP
&SYSTEM
  ibrav = 0, nat = 3, ntyp = 3
/
ATOMIC_SPECIES
Ru 101.07 Ru.upf
La 138.91 La.upf
Pm 145.00 Pm.upf
CELL_PARAMETERS angstrom
-2.464 -0.831 1.949
-1.483 -1.459 -2.496
5.818 -5.924 2.121
ATOMIC_POSITIONS crystal
Ru 0.945 0.945 0.890
La 0.800 0.800 0.601
Pm 0.105 0.105 0.209
! SG	I4mm (107)
! energy above the lowest structure with this stoichiometry	2.83	eV per formula unit
! total DFT energy (no corrections)	-5.610	eV per atom


! Zr3AlCr PBE-GGA optimized geometry; values from VASP
&SYSTEM
  ibrav = 0, nat = 5, ntyp = 3
/
ATOMIC_SPECIES
Zr 91.22 Zr.upf
Cr 52.00 Cr.upf
Al 26.98 Al.upf
CELL_PARAMETERS angstrom
-3.917 1.683 2.232
-2.520 -3.791 -1.563
1.211 -2.441 3.967
ATOMIC_POSITIONS crystal
Zr 0.000 0.500 0.000
Zr 0.500 0.000 0.000
Zr 0.000 0.000 0.500
Cr 0.000 0.000 0.000
Al 0.500 0.500 0.500
! SG	Pm-3m (221)
! energy above the lowest structure with this stoichiometry	0.00	eV per formula unit
! total DFT energy (no corrections)	-7.337	eV per atom


! Tb3SmErTm PBE-GGA optimized geometry; values from VASP
&SYSTEM
  ibrav = 0, nat = 12, ntyp = 4
/
ATOMIC_SPECIES
Er 167.26 Er.upf
Tb 158.93 Tb.upf
Sm 150.36 Sm.upf
Tm 168.93 Tm.upf
CELL_PARAMETERS angstrom
5.014 0.000 0.000
-2.507 7.526 0.000
0.000 0.000 10.054
ATOMIC_POSITIONS crystal
Er 0.167 0.334 0.250
Er 0.833 0.666 0.750
Tb 0.666 0.333 0.500
Tb 0.666 0.333 0.000
Tb 0.334 0.667 0.000
Tb 0.833 0.665 0.250
Tb 0.334 0.667 0.500
Tb 0.167 0.335 0.750
Sm 0.500 0.001 0.250
Sm 0.500 0.999 0.750
Tm 0.000 0.000 0.000
Tm 0.000 0.000 0.500
! SG	Cmcm (63)
! total DFT energy (no corrections)	-4.589	eV per atom


! Rb2TcBrCl6 PBE-GGA optimized geometry; values from VASP
&SYSTEM
  ibrav = 0, nat = 10, ntyp = 4
/
ATOMIC_SPECIES
Cl 35.45 Cl.upf
Br 79.90 Br.upf
Rb 85.47 Rb.upf
Tc 98.00 Tc.upf
CELL_PARAMETERS angstrom
8.573 0.680 0.825
4.800 6.733 0.814
4.912 2.663 6.577
ATOMIC_POSITIONS crystal
Cl 0.040 0.584 0.196
Cl 0.179 0.037 0.328
Cl 0.500 0.593 0.713
Cl 0.150 0.434 0.838
Cl 0.532 0.198 0.215
Cl 0.654 0.051 0.858
Br 0.572 0.818 0.794
Rb 0.064 0.140 0.741
Rb 0.629 0.490 0.303
Tc 0.340 0.316 0.027
! SG	P1 (1)
! energy above the lowest structure with this stoichiometry	0.00	eV per formula unit
! formation energy from raw total energies	-1132	meV per atom
! total DFT energy (no corrections)	-3.638	eV per atom


! NdPu3Tl4O12 PBE-GGA optimized geometry; values from VASP
&SYSTEM
  ibrav = 0, nat = 20, ntyp = 4
/
ATOMIC_SPECIES
Nd 144.24 Nd.upf
O 16.00 O.upf
Pu 244.00 Pu.upf
Tl 204.38 Tl.upf
CELL_PARAMETERS angstrom
-6.501 -3.333 1.908
5.776 -4.486 1.881
0.625 6.576 3.658
ATOMIC_POSITIONS crystal
Nd 0.000 0.000 0.000
O 0.271 0.271 0.000
O 0.000 0.271 0.271
O 0.729 0.000 0.729
O 0.000 0.729 0.729
O 0.500 0.750 0.250
O 0.271 0.000 0.271
O 0.500 0.250 0.750
O 0.750 0.500 0.250
O 0.750 0.250 0.500
O 0.250 0.750 0.500
O 0.250 0.500 0.750
O 0.729 0.729 0.000
Pu 0.500 0.000 0.500
Pu 0.000 0.500 0.500
Pu 0.500 0.500 0.000
Tl 0.000 0.000 0.500
Tl 0.500 0.500 0.500
Tl 0.000 0.500 0.000
Tl 0.500 0.000 0.000
! SG	Im-3m (229)
! formation energy from raw total energies	-2160	meV per atom
! total DFT energy (no corrections)	-7.997	eV per atom


Question: Which value of total DFT energy (no corrections) does entry 2 give?
Answer: -3.537 eV per atom